# Pr2CrPbO6 | Alexandria | PBE+U | optimized geometry
data_Pr2CrPbO6
_symmetry_space_group_name_H-M 'P 1'
_symmetry_Int_Tables_number 1
_cell_length_a 5.231
_cell_length_b 5.541
_cell_length_c 5.541
_cell_angle_alpha 90.00
_cell_angle_beta 90.00
_cell_angle_gamma 90.00
loop_
_symmetry_equiv_pos_as_xyz
'x,y,z'
loop_
_atom_site_label
_atom_site_type_symbol
_atom_site_fract_x
_atom_site_fract_y
_atom_site_fract_z
_atom_site_occupancy
O1 O 0.242 0.000 0.000 1
O2 O 0.735 0.236 0.764 1
O3 O 0.118 0.500 0.500 1
O4 O 0.735 0.764 0.764 1
O5 O 0.735 0.764 0.236 1
O6 O 0.735 0.236 0.236 1
Pr1 Pr 0.996 0.500 0.000 1
Pr2 Pr 0.996 0.000 0.500 1
Pb1 Pb 0.547 0.500 0.500 1
Cr1 Cr 0.610 0.000 0.000 1
# - energy (eV per cell) = -72.0